Compound: RbMgFe2Cl8
Source: Alexandria
Functional: PBE
Structure: relaxed

For the total energy, the calculation gives -0.1504 Ha/atom. The value obtained for the magnetic moment is 18.00 μB/cell. As for the uncorrected formation energy: -1.237 eV per atom.

The structure belongs to space group C2/m (No. 12); the cell edges are 10.5575, 7.1680 and 9.5709 Å and the angles 90.00°, 96.43° and 90.00°. Symmetry generates all atoms from Rb at (0.0000, 0.0000, 0.0000), Mg at (0.0000, 0.0000, 0.5000), Fe at (0.1187, 0.5000, 0.2956), Cl at (0.0111, 0.2450, 0.6945), Cl at (0.1877, 0.5000, 0.0862) and Cl at (0.2386, 0.0000, 0.5117).

***

Compound: RbMgFeCl5
Source: Alexandria
Functional: PBE
Structure: relaxed

For the total energy, the calculation gives -0.1459 Ha/atom. The value obtained for the magnetic moment is 16.00 μB/cell. As for the uncorrected formation energy: -1.438 eV per atom.

The structure belongs to space group C2/c (No. 15); the cell edges are 8.8267, 11.7821 and 9.2807 Å and the angles 90.00°, 112.21° and 90.00°. Symmetry generates all atoms from Rb at (0.0000, 0.1601, 0.2500), Mg at (0.0000, 0.5000, 0.0000), Fe at (0.0000, 0.1887, 0.7500), Cl at (0.0000, 0.4363, 0.2500), Cl at (0.1020, 0.3012, 0.6033) and Cl at (0.1930, 0.0733, 0.9280).

***

Compound: Mg2FeReCl
Source: Alexandria
Functional: PBE
Structure: relaxed

For the total energy, the calculation gives -0.1598 Ha/atom. The value obtained for the magnetic moment is 2.91 μB/cell. As for the uncorrected formation energy: 0.840 eV per atom.

The structure belongs to space group P4/mmm (No. 123); the cell edges are 5.3161, 5.3161 and 4.3735 Å and the angles 90.00°, 90.00° and 90.00°. Symmetry generates all atoms from Mg at (0.0000, 0.5000, 0.0000), Fe at (0.0000, 0.0000, 0.5000), Re at (0.0000, 0.0000, 0.0000) and Cl at (0.5000, 0.5000, 0.5000).